[1]
DFT (PBE) results for a geometry-optimized CsAcSnS3 structure.

a b c (Å): 8.9798 4.3149 12.0254
angles (deg): 90.00 106.49 90.00
Last column: nearest neighbours and their distance in Å.
Fractional positions:
Cs 0.2490 0.2500 0.2222  5 S 3.59-3.72, 1 Sn 3.92
Cs 0.7510 0.7500 0.7778  5 S 3.59-3.72, 1 Sn 3.92
Ac 0.1569 0.7500 0.6466  6 S 2.96-3.04
Ac 0.8431 0.2500 0.3534  6 S 2.96-3.04
Sn 0.3593 0.2500 0.9292  3 S 2.54-2.70
Sn 0.6407 0.7500 0.0708  3 S 2.54-2.70
S 0.0780 0.7500 0.3906  3 Ac 2.96
S 0.1713 0.7500 0.9002  2 Sn 2.70, 1 Ac 3.02
S 0.4012 0.2500 0.7292  1 Sn 2.54
S 0.5988 0.7500 0.2708  1 Sn 2.54
S 0.8287 0.2500 0.0998  2 Sn 2.70, 1 Ac 3.02
S 0.9220 0.2500 0.6094  3 Ac 2.96

Results
* raw formation energy: -8.3 eV/f.u.
* electronic total energy: -4.95 eV/atom
* total moment: 0.00 μB/atom


[2]
DFT (PBE) results for a geometry-optimized Rb3NaU3S8 structure.

a b c (Å): 9.0249 9.0249 9.0249
angles (deg): 53.57 53.57 53.57
Last column: nearest neighbours and their distance in Å.
Fractional positions:
Rb 0.0000 0.5000 0.5000  6 S 3.34-3.43
Rb 0.5000 0.0000 0.5000  6 S 3.34-3.43
Rb 0.5000 0.5000 0.0000  6 S 3.34-3.43
Na 0.5000 0.5000 0.5000  6 S 2.90
U 0.0000 0.0000 0.5000  6 S 2.69-2.78
U 0.0000 0.5000 0.0000  6 S 2.69-2.78
U 0.5000 0.0000 0.0000  6 S 2.69-2.78
S 0.2052 0.7408 0.7408  2 U 2.69, 1 Na 2.90
S 0.2308 0.2308 0.2308  3 U 2.78
S 0.2592 0.2592 0.7948  2 U 2.69, 1 Na 2.90
S 0.2592 0.7948 0.2592  2 U 2.69, 1 Na 2.90
S 0.7408 0.2052 0.7408  2 U 2.69, 1 Na 2.90
S 0.7408 0.7408 0.2052  2 U 2.69, 1 Na 2.90
S 0.7692 0.7692 0.7692  3 U 2.78
S 0.7948 0.2592 0.2592  2 U 2.69, 1 Na 2.90

Results
* raw formation energy: -20.6 eV/f.u.
* electronic total energy: -6.12 eV/atom
* total moment: 0.40 μB/atom


[3]
DFT (PBE) results for a geometry-optimized ScBeSi3 structure.

a b c (Å): 4.9982 4.9982 4.9982
angles (deg): 90.00 90.00 90.00
Last column: nearest neighbours and their distance in Å.
Fractional positions:
Sc 0.0000 0.0000 0.0000  6 Si 2.50
Be 0.5000 0.5000 0.5000  12 Si 3.53
Si 0.0000 0.0000 0.5000  2 Sc 2.50
Si 0.0000 0.5000 0.0000  2 Sc 2.50
Si 0.5000 0.0000 0.0000  2 Sc 2.50

Results
* raw formation energy: 6.9 eV/f.u.
* electronic total energy: -3.88 eV/atom
* total moment: 0.00 μB/atom


[4]
DFT (PBE) results for a geometry-optimized Ta2TcMo6 structure.

a b c (Å): 4.9550 5.0526 6.7270
angles (deg): 102.71 111.46 90.15
Last column: nearest neighbours and their distance in Å.
Fractional positions:
Ta 0.1079 0.0771 0.2185  2 Mo 2.59-2.89, 1 Ta 2.66, 2 Tc 2.81-2.82
Ta 0.8921 0.9229 0.7815  2 Mo 2.59-2.89, 1 Ta 2.66, 2 Tc 2.81-2.82
Tc 0.5000 0.0000 0.0000  2 Mo 2.51, 2 Ta 2.81
Mo 0.2355 0.6340 0.4734  1 Mo 2.54
Mo 0.2424 0.5001 0.9999  2 Mo 2.40-2.55
Mo 0.3230 0.1428 0.6418  1 Tc 2.51, 1 Mo 2.54, 1 Ta 2.59
Mo 0.6770 0.8572 0.3582  1 Tc 2.51, 1 Mo 2.54, 1 Ta 2.59
Mo 0.7576 0.4999 0.0001  2 Mo 2.40-2.55
Mo 0.7645 0.3660 0.5266  1 Mo 2.54

Results
* formation energy from the elements: 190 kJ/mol of formula units
* electronic total energy: -10.79 eV/atom
* total moment: 0.00 μB/atom